# 1
A plane-wave DFT calculation with GGA-PBE was carried out for a geometry-optimized ZnAs structure.

Calculated values
Total energy ... -47.66 eV per cell
Calculated formation energy ... -0.017 eV per atom
M_tot ... 0.000 μB/cell

a = 5.877 Å, b = 7.785 Å, c = 8.474 Å
α = 90.00°, β = 90.00°, γ = 90.00°
Element x y z (fractional)
Zn  0.959  0.902  0.023
As  0.138  0.399  0.970
As  0.148  0.103  0.419
As  0.862  0.899  0.530
Zn  0.041  0.402  0.477
As  0.362  0.601  0.470
Zn  0.748  0.340  0.857
As  0.648  0.397  0.581
Zn  0.541  0.098  0.523
As  0.638  0.101  0.030
Zn  0.459  0.598  0.977
As  0.852  0.603  0.081
Zn  0.252  0.840  0.643
Zn  0.248  0.160  0.143
Zn  0.752  0.660  0.357
As  0.352  0.897  0.919



# 2
A plane-wave DFT calculation with GGA-PBE was carried out for a geometry-optimized ZnAs structure.

Calculated values
Total energy ... -11.66 eV per cell
Calculated formation energy ... 0.046 eV per atom
M_tot ... 0.000 μB/cell

a = 6.043 Å, b = 5.778 Å, c = 3.685 Å
α = 71.40°, β = 72.25°, γ = 38.10°
Element x y z (fractional)
Zn  0.484  0.038  0.239
As  0.971  0.509  0.760
As  0.945  0.074  0.990
Zn  0.432  0.545  0.511



# 3
A plane-wave DFT calculation with GGA-PBE was carried out for a geometry-optimized Zn5As structure.

Calculated values
Total energy ... -9.85 eV per cell
Calculated formation energy ... 0.195 eV per atom
M_tot ... 0.000 μB/cell
Polymorph energy (0 for the lowest one) ... 71 kJ/mol of formula units

a = 5.202 Å, b = 5.202 Å, c = 4.370 Å
α = 90.00°, β = 90.00°, γ = 120.00°
Element x y z (fractional)
Zn  0.500  0.500  0.500
Zn  0.500  0.000  0.500
Zn  0.000  0.500  0.500
Zn  0.667  0.333  0.000
Zn  0.333  0.667  0.000
As  0.000  0.000  0.000



# 4
A plane-wave DFT calculation with GGA-PBE was carried out for a geometry-optimized ZnAs structure.

Calculated values
Total energy ... -11.90 eV per cell
Calculated formation energy ... -0.012 eV per atom
M_tot ... 0.000 μB/cell

a = 4.368 Å, b = 5.112 Å, c = 4.332 Å
α = 90.00°, β = 120.35°, γ = 90.00°
Element x y z (fractional)
As  0.267  0.750  0.024
Zn  0.397  0.250  0.305
Zn  0.603  0.750  0.695
As  0.733  0.250  0.976



# 5
A plane-wave DFT calculation with GGA-PBE was carried out for a geometry-optimized ZnAs structure.

Calculated values
Total energy ... -5.38 eV per cell
Calculated formation energy ... 0.273 eV per atom
M_tot ... 0.000 μB/cell

a = 5.267 Å, b = 5.267 Å, c = 5.267 Å
α = 31.87°, β = 31.87°, γ = 31.87°
Element x y z (fractional)
As  0.000  0.000  0.000
Zn  0.500  0.500  0.500



# 6
A plane-wave DFT calculation with GGA-PBE was carried out for a geometry-optimized ZnAs structure.

Calculated values
Total energy ... -23.77 eV per cell
Calculated formation energy ... -0.009 eV per atom
M_tot ... 0.000 μB/cell

a = 6.502 Å, b = 6.502 Å, c = 4.397 Å
α = 90.00°, β = 90.00°, γ = 90.00°
Element x y z (fractional)
Zn  0.740  0.260  0.000
Zn  0.260  0.740  0.000
As  0.143  0.857  0.500
As  0.857  0.143  0.500
Zn  0.240  0.240  0.500
As  0.357  0.357  0.000
Zn  0.760  0.760  0.500
As  0.643  0.643  0.000



# 7
A plane-wave DFT calculation with GGA-PBE was carried out for a geometry-optimized Zn3As structure.

Calculated values
Total energy ... -7.98 eV per cell
Calculated formation energy ... 0.123 eV per atom
M_tot ... 0.000 μB/cell

a = 5.096 Å, b = 5.096 Å, c = 5.096 Å
α = 134.27°, β = 134.27°, γ = 66.66°
Element x y z (fractional)
Zn  0.750  0.250  0.500
Zn  0.500  0.500  0.000
As  0.000  0.000  0.000
Zn  0.250  0.750  0.500



# 8
A plane-wave DFT calculation with GGA-PBE was carried out for a geometry-optimized Zn3As structure.

Calculated values
Total energy ... -7.98 eV per cell
Calculated formation energy ... 0.122 eV per atom
M_tot ... 0.000 μB/cell

a = 2.927 Å, b = 3.969 Å, c = 5.732 Å
α = 90.00°, β = 90.00°, γ = 90.00°
Element x y z (fractional)
Zn  0.500  0.500  0.738
As  0.000  0.000  0.000
Zn  0.000  0.000  0.500
Zn  0.500  0.500  0.262



Q: Among the records above, which one has the highest calculated formation energy?
A: number 5